A plane-wave DFT calculation with GGA-PBE was carried out for a relaxed Pm4ZnAg2 crystal.

Values from the calculation:
Calculated volume: 197.4 Å³/f.u.
Magnetization: 0.1549 μB per atom
Calculated total energy: -26.92 eV per cell
Space group: R-3m

```
Pm4ZnAg2
1.0
2.601 1.502 8.422
-2.601 1.502 8.422
0.000 -3.004 8.422
Pm Zn Ag
4 1 2
Direct
0.123 0.123 0.123
0.374 0.374 0.374
0.626 0.626 0.626
0.877 0.877 0.877
0.500 0.500 0.500
0.248 0.248 0.248
0.752 0.752 0.752
```

A plane-wave DFT calculation with GGA-PBE was carried out for a relaxed BaZn2OsO crystal.

Values from the calculation:
E_form (uncorrected): 301 meV/atom
Calculated volume: 93.3 Å³/f.u.
Magnetization: 0.0000 μB per atom
Space group: P4/mmm

```
BaZn2OsO
1.0
4.250 0.000 0.000
0.000 4.250 0.000
0.000 0.000 5.166
Ba Zn Os O
1 2 1 1
Direct
0.000 0.000 0.000
0.000 0.500 0.500
0.500 0.000 0.500
0.500 0.500 0.000
0.000 0.000 0.500
```

A plane-wave DFT calculation with GGA-PBE was carried out for a relaxed FeCuAuN crystal.

Values from the calculation:
E_form (uncorrected): 158 meV/atom
Calculated volume: 52.6 Å³/f.u.
Magnetization: 0.0000 μB per atom
Excess energy over the best structure of this formula in the dataset: 74 meV/atom
Space group: R3m

```
FeCuAuN
1.0
1.440 0.831 7.318
-1.440 0.831 7.318
0.000 -1.663 7.318
Fe Cu Au N
1 1 1 1
Direct
0.000 0.000 0.000
0.760 0.760 0.760
0.191 0.191 0.191
0.308 0.308 0.308
```

A plane-wave DFT calculation with GGA-PBE was carried out for a relaxed CaAlInAg crystal.

Values from the calculation:
Calculated volume: 88.2 Å³/f.u.
Magnetization: 0.0000 μB per atom
Calculated total energy: -12.04 eV per cell
Space group: F-43m

```
CaAlInAg
1.0
0.000 3.533 3.533
3.533 0.000 3.533
3.533 3.533 0.000
Ca Al In Ag
1 1 1 1
Direct
0.000 0.000 0.000
0.500 0.500 0.500
0.750 0.750 0.750
0.250 0.250 0.250
```